# 1
Density functional theory data (PBE-GGA) for crystalline BeInCl3 at its relaxed geometry.

a = 8.2251 Å, b = 7.6280 Å, c = 12.7085 Å
α = 90.00°, β = 126.06°, γ = 90.00°
With the nearest neighbours (Å) after each atom.
Fractional coordinates of all 20 atoms:
Be  0.0627  0.1438  0.0814  4 Cl 1.98-2.09
Be  0.0627  0.3562  0.5814  4 Cl 1.98-2.09
Be  0.9373  0.6438  0.4186  4 Cl 1.98-2.09
Be  0.9373  0.8562  0.9186  4 Cl 1.98-2.09
In  0.2662  0.5750  0.2371  5 Cl 3.09-3.40
In  0.2662  0.9250  0.7371  5 Cl 3.09-3.40
In  0.7338  0.0750  0.2629  5 Cl 3.09-3.40
In  0.7338  0.4250  0.7629  5 Cl 3.09-3.40
Cl  0.0697  0.0924  0.9225  2 Be 2.09
Cl  0.0697  0.4076  0.4225  2 Be 2.09
Cl  0.1206  0.6569  0.9548  1 Be 1.99
Cl  0.1206  0.8431  0.4548  1 Be 1.99
Cl  0.3368  0.1763  0.2442  1 Be 1.98
Cl  0.3368  0.3237  0.7442  1 Be 1.98
Cl  0.6632  0.6763  0.2558  1 Be 1.98
Cl  0.6632  0.8237  0.7558  1 Be 1.98
Cl  0.8794  0.1569  0.5452  1 Be 1.99
Cl  0.8794  0.3431  0.0452  1 Be 1.99
Cl  0.9303  0.5924  0.5775  2 Be 2.09
Cl  0.9303  0.9076  0.0775  2 Be 2.09

Results
Polymorph energy (0 for the lowest one), eV/f.u.: 0.00
Formation energy without anion corrections, meV per atom: -1198.7
Calculated total energy, eV per atom: -3.60

# 2
Density functional theory data (PBE-GGA) for crystalline BeInCl3 at its relaxed geometry.

a = 5.2097 Å, b = 5.2097 Å, c = 5.2097 Å
α = 90.00°, β = 90.00°, γ = 90.00°
With the nearest neighbours (Å) after each atom.
Fractional coordinates of all 5 atoms:
Be  0.0000  0.0000  0.0000  12 Cl 3.68
In  0.5000  0.5000  0.5000  6 Cl 2.60
Cl  0.0000  0.5000  0.5000  2 In 2.60
Cl  0.5000  0.0000  0.5000  2 In 2.60
Cl  0.5000  0.5000  0.0000  2 In 2.60

Results
Polymorph energy (0 for the lowest one), eV/f.u.: 5.67
Formation energy without anion corrections, meV per atom: -64.1
Calculated total energy, eV per atom: -2.47

# 3
Density functional theory data (PBE-GGA) for crystalline BeIn5Cl8 at its relaxed geometry.

a = 8.5147 Å, b = 8.5147 Å, c = 8.5147 Å
α = 120.01°, β = 120.01°, γ = 89.99°
With the nearest neighbours (Å) after each atom.
Fractional coordinates of all 14 atoms:
Be  0.0000  0.0000  0.0000  4 Cl 2.04
In  0.0918  0.3619  0.7261  6 Cl 3.12-3.28
In  0.2500  0.7500  0.5000  4 Cl 2.64
In  0.6343  0.9082  0.2701  6 Cl 3.12-3.28
In  0.6358  0.3657  0.2739  6 Cl 3.12-3.28
In  0.6381  0.3642  0.7299  6 Cl 3.12-3.28
Cl  0.2938  0.0985  0.1965  1 Be 2.04
Cl  0.3765  0.6231  0.7526  1 In 2.64
Cl  0.3762  0.6235  0.2466  1 In 2.64
Cl  0.3769  0.1296  0.7534  1 In 2.64
Cl  0.8704  0.6238  0.2474  1 In 2.64
Cl  0.9015  0.0980  0.1953  1 Be 2.04
Cl  0.9020  0.0973  0.8035  1 Be 2.04
Cl  0.9027  0.7062  0.8047  1 Be 2.04

Results
Formation energy without anion corrections, meV per atom: -926.4
Calculated total energy, eV per atom: -3.23